AsPt2Br: relaxed, GGA-PBEsol.

Summary:
**ΔE to the lowest computed polymorph**: 123 meV/atom
**Formation energy (no corrections)**: 394.0 meV per atom
**Density**: 13.4 Mg/m³
**E**: -4.832 eV/atom

Structure (CIF):
```
data_AsPt2Br
_chemical_formula_sum 'As1 Pt2 Br1'
_cell_length_a 4.569
_cell_length_b 4.569
_cell_length_c 4.569
_cell_angle_alpha 60.00
_cell_angle_beta 60.00
_cell_angle_gamma 60.00
_symmetry_space_group_name_H-M 'P 1'
_symmetry_Int_Tables_number 1
_symmetry_space_group_name_Hall 'P 1'
loop_
_atom_site_label
_atom_site_type_symbol
_atom_site_fract_x
_atom_site_fract_y
_atom_site_fract_z
Pt1 Pt 0.750 0.750 0.750
Pt2 Pt 0.250 0.250 0.250
As1 As 0.000 0.000 0.000
Br1 Br 0.500 0.500 0.500
```